1.
Computed, not measured: a geometry-optimized Ac3Si3Pd structure at the PBE-GGA level of DFT.

Cell: 4.2435 4.5668 10.1353 Å, 103.02 102.08 90.00°
Positions (direct):
1 Si 0.1354 0.6354 0.2707
2 Si 0.5624 0.5624 0.1248
3 Si 0.8642 0.3642 0.7284
4 Pd 0.4360 0.4360 0.8720
5 Ac 0.0003 0.0003 0.0006
6 Ac 0.3167 0.8167 0.6335
7 Ac 0.6849 0.1849 0.3699

V	187	Å³/cell
VASP energy	-5.530	eV/atom
M_tot	0.00	μB per cell

=====

2.
Computed, not measured: a geometry-optimized K3CrBr8 structure at the PBE-GGA level of DFT.

Cell: 7.6141 7.6141 8.8875 Å, 115.36 115.36 90.00°
Site moments in Bohr magnetons follow the coordinates.
Positions (direct):
1 Cr 0.0000 0.0000 0.0000  2.97
2 Br 0.6735 0.1012 0.7748  -0.18
3 Br 0.3265 0.8988 0.2252  -0.18
4 Br 0.6735 0.6735 0.7748  -0.18
5 Br 0.1012 0.6735 0.7748  -0.18
6 Br 0.1012 0.1012 0.7748  -0.18
7 Br 0.8988 0.8988 0.2252  -0.18
8 Br 0.8988 0.3265 0.2252  -0.18
9 Br 0.3265 0.3265 0.2252  -0.18
10 K 0.7500 0.2500 0.5000  0.00
11 K 0.5000 0.5000 0.0000  0.00
12 K 0.2500 0.7500 0.5000  0.00

V	410	Å³/cell
VASP energy	-3.020	eV/atom
M_tot	1.33	μB per cell

=====

3.
Computed, not measured: a geometry-optimized BaSc2IrN structure at the PBE-GGA level of DFT.

Cell: 4.3798 5.3555 4.3798 Å, 90.00 90.00 90.00°
Positions (direct):
1 Sc 0.0000 0.0000 0.5000
2 Sc 0.5000 0.0000 0.0000
3 Ir 0.0000 0.5000 0.0000
4 Ba 0.5000 0.5000 0.5000
5 N 0.0000 0.0000 0.0000

V	103	Å³/cell
VASP energy	-6.495	eV/atom
M_tot	0.00	μB per cell

=====

4.
Computed, not measured: a geometry-optimized Ti2Ir2Rh structure at the PBE-GGA level of DFT.

Cell: 4.1626 4.1626 5.4137 Å, 90.01 90.01 113.87°
Positions (direct):
1 Ti 0.4998 0.4998 0.2499
2 Ti 0.5002 0.5002 0.7501
3 Rh 0.0000 0.0000 0.0000
4 Ir 0.8247 0.1753 0.5000
5 Ir 0.1753 0.8247 0.5000

V	86	Å³/cell
ΔE_f	-133	meV per atom
M_tot	0.00	μB per cell

=====

5.
Computed, not measured: a geometry-optimized Na2GaSnAu6 structure at the PBE-GGA level of DFT.

Cell: 7.2509 7.2509 7.2509 Å, 60.00 60.00 90.00°
Positions (direct):
1 Au 0.2590 0.2590 0.0000
2 Au 0.7410 0.7410 0.5179
3 Au 0.2590 0.7410 0.0000
4 Au 0.7410 0.7410 0.0000
5 Au 0.7410 0.2590 0.0000
6 Au 0.2590 0.2590 0.4821
7 Na 0.2500 0.7500 0.5000
8 Na 0.7500 0.2500 0.5000
9 Ga 0.5000 0.5000 0.0000
10 Sn 0.0000 0.0000 0.0000

V	270	Å³/cell
ΔE_f	-32	meV per atom
M_tot	0.00	μB per cell

=====

6.
Computed, not measured: a geometry-optimized SmTlIn structure at the PBE-GGA level of DFT.

Cell: 5.0797 5.0797 7.3224 Å, 90.00 90.00 119.92°
Positions (direct):
1 Tl 0.6667 0.8333 0.7500
2 Tl 0.3333 0.1667 0.2500
3 Sm 0.0000 0.5000 0.5000
4 Sm 0.0000 0.5000 0.0000
5 In 0.6668 0.8332 0.2500
6 In 0.3332 0.1668 0.7500

V	164	Å³/cell
ΔE_f	-309	meV per atom
M_tot	0.00	μB per cell

=====

7.
Computed, not measured: a geometry-optimized CaAsW2N structure at the PBE-GGA level of DFT.

Cell: 4.7490 4.8938 4.7490 Å, 90.00 90.00 90.00°
Site moments in Bohr magnetons follow the coordinates.
Positions (direct):
1 W 0.0000 0.0000 0.5000  0.54
2 W 0.5000 0.0000 0.0000  0.68
3 As 0.0000 0.5000 0.0000  -0.05
4 N 0.5000 0.5000 0.5000  0.21
5 Ca 0.0000 0.0000 0.0000  0.00

V	110	Å³/cell
VASP energy	-4.300	eV/atom
M_tot	1.77	μB per cell

=====

8.
Computed, not measured: a geometry-optimized InAs2Os structure at the PBE-GGA level of DFT.

Cell: 4.0291 5.0876 5.1566 Å, 62.20 90.00 90.00°
Positions (direct):
1 Os 0.5000 0.7500 0.7500
2 In 0.5000 0.2500 0.2500
3 As 0.0000 0.5219 0.6608
4 As 0.0000 0.9781 0.8392

V	94	Å³/cell
ΔE_f	214	meV per atom
M_tot	0.00	μB per cell